No. 1
First-principles (PBE) data for a relaxed IrOs crystal, as listed in the Alexandria database.

total DFT energy (no corrections)	-10.026	eV per atom
ΔH_f (0 K)	0.019	eV/atom
SG	No. 8
Fermi-level density of states	0.835	states/eV per atom

Unit cell a=2.7572 b=5.1648 c=6.4942 alpha=76.51 beta=90.00 gamma=74.52
Closest atoms and distances in Å follow each position.
Atoms (fractional coordinates):
Os 0.9412 0.1175 0.3866  6 Ir 2.66-2.79, 6 Os 2.69-2.76
Ir 0.6676 0.6648 0.3359  7 Os 2.66-2.75, 5 Ir 2.69-2.80
Ir 0.6131 0.7738 0.7224  5 Ir 2.69-2.76, 7 Os 2.70-2.79
Os 0.2795 0.4409 0.0585  7 Ir 2.68-2.77, 5 Os 2.71-2.76
Os 0.3350 0.3299 0.6663  5 Os 2.69-2.76, 7 Ir 2.70-2.75
Ir 0.9969 0.0063 0.9970  6 Os 2.68-2.74, 6 Ir 2.72-2.80

---

No. 2
First-principles (PBE) data for a relaxed IrOs4 crystal, as listed in the Alexandria database.

total DFT energy (no corrections)	-8.926	eV per atom
ΔH_f (0 K)	1.830	eV/atom
SG	No. 229
Fermi-level density of states	1.549	states/eV per atom
E above lowest polymorph	1738	meV per atom

Unit cell a=4.9289 b=4.9289 c=4.9289 alpha=109.47 beta=109.47 gamma=109.47
Closest atoms and distances in Å follow each position.
Atoms (fractional coordinates):
Os 0.5000 0.5000 0.5000  2 Ir 2.46
Os 0.0000 0.0000 0.5000  2 Ir 2.46
Ir 0.0000 0.0000 0.0000  8 Os 2.46
Os 0.0000 0.5000 0.0000  2 Ir 2.46
Os 0.5000 0.0000 0.0000  2 Ir 2.46

---

No. 3
First-principles (PBE) data for a relaxed IrOs crystal, as listed in the Alexandria database.

total DFT energy (no corrections)	-10.030	eV per atom
ΔH_f (0 K)	0.015	eV/atom
SG	No. 62
Fermi-level density of states	0.885	states/eV per atom

Unit cell a=4.7789 b=4.3767 c=5.5093 alpha=90.00 beta=90.00 gamma=90.00
Closest atoms and distances in Å follow each position.
Atoms (fractional coordinates):
Ir 0.0858 0.2500 0.1229  4 Ir 2.70-2.77, 8 Os 2.71-2.78
Ir 0.9142 0.7500 0.8771  4 Ir 2.70-2.77, 8 Os 2.71-2.78
Ir 0.5858 0.2500 0.3771  4 Ir 2.70-2.77, 8 Os 2.71-2.78
Os 0.5798 0.2500 0.8738  4 Os 2.70-2.75, 8 Ir 2.71-2.78
Os 0.4202 0.7500 0.1262  4 Os 2.70-2.75, 8 Ir 2.71-2.78
Os 0.9202 0.7500 0.3738  4 Os 2.70-2.75, 8 Ir 2.71-2.78
Os 0.0798 0.2500 0.6262  4 Os 2.70-2.75, 8 Ir 2.71-2.78
Ir 0.4142 0.7500 0.6229  4 Ir 2.70-2.77, 8 Os 2.71-2.78